VASP calculation (GGA-PBE) on crystalline AcAl2PdAu5 at its relaxed geometry.

Properties
- formation energy (eV per atom) = -0.345
- magnetic moment (μB per cell) = 0.0
- ρ (kg/m3) = 11934

a = 5.0453 Å, b = 5.0453 Å, c = 7.5012 Å
α = 90.00°, β = 90.00°, γ = 90.00°
With the nearest neighbours (Å) after each atom.
Atoms (fractional coordinates):
Ac (0.0000, 0.0000, 0.0000)  12 Au 3.35-3.57, 2 Pd 3.75
Al (0.5000, 0.5000, 0.3328)  5 Au 2.50-2.54, 1 Al 2.51
Al (0.5000, 0.5000, 0.6672)  5 Au 2.50-2.54, 1 Al 2.51
Pd (0.0000, 0.0000, 0.5000)  8 Au 2.96
Au (0.0000, 0.5000, 0.2942)  2 Al 2.54
Au (0.0000, 0.5000, 0.7058)  2 Al 2.54
Au (0.5000, 0.0000, 0.2942)  2 Al 2.54
Au (0.5000, 0.0000, 0.7058)  2 Al 2.54
Au (0.5000, 0.5000, 0.0000)  2 Al 2.50

VASP calculation (GGA-PBE) on crystalline CoCuRe2 at its relaxed geometry.

Properties
- formation energy (eV per atom) = 0.205
- magnetic moment (μB per cell) = 1.7
- energy above the most stable polymorph in this dataset (meV per atom) = 45
- ρ (kg/m3) = 15011

a = 8.7295 Å, b = 8.7295 Å, c = 8.7295 Å
α = 17.88°, β = 17.88°, γ = 17.88°
With the nearest neighbours (Å) after each atom.
Atoms (fractional coordinates):
Co (0.0000, 0.0000, 0.0000)  3 Cu 2.57, 3 Re 2.63, 6 Co 2.71
Cu (0.2544, 0.2544, 0.2544)  3 Co 2.57, 6 Cu 2.71, 3 Re 2.73
Re (0.5008, 0.5008, 0.5008)  9 Re 2.71, 3 Cu 2.73
Re (0.7485, 0.7485, 0.7485)  3 Co 2.63, 9 Re 2.71

VASP calculation (GGA-PBE) on crystalline Pr3Ho7Tm at its relaxed geometry.

Properties
- formation energy (eV per atom) = 0.172
- magnetic moment (μB per cell) = 0.0
- energy above the most stable polymorph in this dataset (meV per atom) = 47
- ρ (kg/m3) = 7728

a = 7.0613 Å, b = 7.0613 Å, c = 8.6886 Å
α = 90.00°, β = 90.00°, γ = 120.00°
With the nearest neighbours (Å) after each atom.
Atoms (fractional coordinates):
Pr (0.0001, 0.5001, 0.0000)  4 Pr 3.53, 5 Ho 3.58-3.59, 1 Tm 3.59
Pr (0.4999, 0.9999, 0.0000)  4 Pr 3.53, 5 Ho 3.58-3.59, 1 Tm 3.59
Pr (0.4999, 0.5001, 0.0000)  4 Pr 3.53, 5 Ho 3.58-3.59, 1 Tm 3.59
Ho (0.1674, 0.3349, 0.6606)  1 Tm 3.45, 8 Ho 3.47-3.55, 2 Pr 3.58
Ho (0.1674, 0.8326, 0.6606)  1 Tm 3.45, 8 Ho 3.47-3.55, 2 Pr 3.58
Ho (0.3348, 0.1674, 0.3385)  7 Ho 3.45-3.55, 2 Tm 3.53, 2 Pr 3.58
Ho (0.6651, 0.8326, 0.6606)  1 Tm 3.45, 8 Ho 3.47-3.55, 2 Pr 3.58
Ho (0.6667, 0.3333, 0.6596)  9 Ho 3.45-3.53, 3 Pr 3.59
Ho (0.8326, 0.1674, 0.3385)  7 Ho 3.45-3.55, 2 Tm 3.53, 2 Pr 3.58
Ho (0.8326, 0.6652, 0.3385)  7 Ho 3.45-3.55, 2 Tm 3.53, 2 Pr 3.58
Tm (0.3333, 0.6667, 0.3401)  9 Ho 3.45-3.53, 3 Pr 3.59

VASP calculation (GGA-PBE) on crystalline Mg2BeAs at its relaxed geometry.

Properties
- formation energy (eV per atom) = 0.165
- magnetic moment (μB per cell) = 0.0
- energy above the most stable polymorph in this dataset (meV per atom) = 342
- ρ (kg/m3) = 3087

a = 4.6544 Å, b = 4.6544 Å, c = 4.6544 Å
α = 60.00°, β = 60.00°, γ = 60.00°
With the nearest neighbours (Å) after each atom.
Atoms (fractional coordinates):
Mg (0.2500, 0.2500, 0.2500)  4 As 2.85, 4 Be 2.85
Mg (0.7500, 0.7500, 0.7500)  4 As 2.85, 4 Be 2.85
Be (0.0000, 0.0000, 0.0000)  8 Mg 2.85
As (0.5000, 0.5000, 0.5000)  8 Mg 2.85

VASP calculation (GGA-PBE) on crystalline Ce2CF at its relaxed geometry.

Properties
- magnetic moment (μB per cell) = 1.7
- energy above the most stable polymorph in this dataset (meV per atom) = 429
- formation energy (no corrections) (eV/atom) = -1.0504
- ρ (kg/m3) = 8149

a = 3.1334 Å, b = 3.1334 Å, c = 6.4594 Å
α = 90.00°, β = 90.00°, γ = 90.00°
With the nearest neighbours (Å) after each atom.
Atoms (fractional coordinates):
Ce (0.0000, 0.0000, 0.2182)  4 C 2.63, 1 Ce 2.82, 4 F 2.87
Ce (0.0000, 0.0000, 0.7818)  4 C 2.63, 1 Ce 2.82, 4 F 2.87
C (0.5000, 0.5000, 0.0000)  8 Ce 2.63
F (0.5000, 0.5000, 0.5000)  8 Ce 2.87, 4 F 3.13

VASP calculation (GGA-PBE) on crystalline Ho4Zn3Cd at its relaxed geometry.

Properties
- formation energy (eV per atom) = -0.328
- magnetic moment (μB per cell) = 0.0
- energy above the most stable polymorph in this dataset (meV per atom) = 0
- ρ (kg/m3) = 8612

a = 5.0646 Å, b = 5.0646 Å, c = 7.2797 Å
α = 90.00°, β = 90.00°, γ = 90.00°
With the nearest neighbours (Å) after each atom.
Atoms (fractional coordinates):
Ho (0.0000, 0.5000, 0.2407)  6 Zn 3.08-3.16, 2 Cd 3.16
Ho (0.0000, 0.5000, 0.7593)  6 Zn 3.08-3.16, 2 Cd 3.16
Ho (0.5000, 0.0000, 0.2407)  6 Zn 3.08-3.16, 2 Cd 3.16
Ho (0.5000, 0.0000, 0.7593)  6 Zn 3.08-3.16, 2 Cd 3.16
Zn (0.0000, 0.0000, 0.0000)  8 Ho 3.08
Zn (0.0000, 0.0000, 0.5000)  8 Ho 3.16
Zn (0.5000, 0.5000, 0.0000)  8 Ho 3.08
Cd (0.5000, 0.5000, 0.5000)  8 Ho 3.16

VASP calculation (GGA-PBE) on crystalline MgHgRu2 at its relaxed geometry.

Properties
- formation energy (eV per atom) = 0.310
- magnetic moment (μB per cell) = 0.3
- energy above the most stable polymorph in this dataset (meV per atom) = 234
- ρ (kg/m3) = 10672

a = 5.4758 Å, b = 5.4758 Å, c = 5.4758 Å
α = 148.10°, β = 129.39°, γ = 61.08°
With the nearest neighbours (Å) after each atom.
Atoms (fractional coordinates):
Mg (0.0000, 0.0000, 0.0000)  6 Ru 2.80, 2 Hg 2.94, 2 Mg 3.01
Hg (0.7325, 0.2325, 0.5000)  6 Ru 2.79-2.89, 2 Mg 2.94, 2 Hg 3.01
Ru (0.2504, 0.7504, 0.5000)  2 Ru 2.57, 4 Hg 2.79, 2 Mg 2.80
Ru (0.4713, 0.4713, 0.0000)  2 Ru 2.57, 4 Mg 2.80

VASP calculation (GGA-PBE) on crystalline TbCu3Pd4 at its relaxed geometry.

Properties
- formation energy (eV per atom) = -0.412
- magnetic moment (μB per cell) = 0.0
- ρ (kg/m3) = 10393

a = 4.1971 Å, b = 4.1971 Å, c = 7.0316 Å
α = 90.00°, β = 90.00°, γ = 90.00°
With the nearest neighbours (Å) after each atom.
Atoms (fractional coordinates):
Tb (0.0000, 0.0000, 0.0000)  8 Pd 2.84, 4 Cu 2.97
Cu (0.0000, 0.0000, 0.5000)  8 Pd 2.64
Cu (0.5000, 0.5000, 0.0000)  8 Pd 2.84, 4 Tb 2.97
Cu (0.5000, 0.5000, 0.5000)  8 Pd 2.64
Pd (0.0000, 0.5000, 0.2729)  6 Cu 2.64-2.84, 2 Tb 2.84
Pd (0.0000, 0.5000, 0.7271)  6 Cu 2.64-2.84, 2 Tb 2.84
Pd (0.5000, 0.0000, 0.2729)  6 Cu 2.64-2.84, 2 Tb 2.84
Pd (0.5000, 0.0000, 0.7271)  6 Cu 2.64-2.84, 2 Tb 2.84

VASP calculation (GGA-PBE) on crystalline CaSb10S6O10 at its relaxed geometry.

Properties
- magnetic moment (μB per cell) = 0.0
- formation energy (no corrections) (eV/atom) = -1.0866
- ρ (kg/m3) = 4627

a = 13.5767 Å, b = 13.5767 Å, c = 17.5872 Å
α = 119.32°, β = 119.32°, γ = 24.33°
With the nearest neighbours (Å) after each atom.
Atoms (fractional coordinates):
Ca (0.0267, 0.9733, 0.7500)  8 O 2.44-2.58
Ca (0.9733, 0.0267, 0.2500)  8 O 2.44-2.58
Sb (0.0149, 0.8746, 0.9090)  3 O 2.01-2.08
Sb (0.0780, 0.2677, 0.4559)  1 O 2.12
Sb (0.1254, 0.9851, 0.5910)  3 O 2.01-2.08
Sb (0.1476, 0.3763, 0.8418)  3 S 2.47-2.69
Sb (0.2677, 0.0780, 0.9559)  1 O 2.12
Sb (0.3153, 0.4969, 0.2510)  3 O 1.99-2.10
Sb (0.3763, 0.1476, 0.3418)  3 S 2.47-2.69
Sb (0.4222, 0.4665, 0.5863)  3 O 1.99-2.06
Sb (0.4665, 0.4222, 0.0863)  3 O 1.99-2.06
Sb (0.4969, 0.3153, 0.7510)  3 O 1.99-2.10
Sb (0.5031, 0.6847, 0.2490)  3 O 1.99-2.10
Sb (0.5335, 0.5778, 0.9137)  3 O 1.99-2.06
Sb (0.5778, 0.5335, 0.4137)  3 O 1.99-2.06
Sb (0.6237, 0.8524, 0.6582)  3 S 2.47-2.69
Sb (0.6847, 0.5031, 0.7490)  3 O 1.99-2.10
Sb (0.7323, 0.9220, 0.0441)  1 O 2.12
Sb (0.8524, 0.6237, 0.1582)  3 S 2.47-2.69
Sb (0.8746, 0.0149, 0.4090)  3 O 2.01-2.08
Sb (0.9220, 0.7323, 0.5441)  1 O 2.12
Sb (0.9851, 0.1254, 0.0910)  3 O 2.01-2.08
S (0.0456, 0.5616, 0.3272)  2 Sb 2.47-2.69
S (0.1271, 0.2040, 0.3089)  2 Sb 2.48-2.51
S (0.2040, 0.1271, 0.8089)  2 Sb 2.48-2.51
S (0.2899, 0.3020, 0.0213)  1 Sb 2.46
S (0.3020, 0.2899, 0.5213)  1 Sb 2.46
S (0.4384, 0.9544, 0.1728)  2 Sb 2.47-2.69
S (0.5616, 0.0456, 0.8272)  2 Sb 2.47-2.69
S (0.6980, 0.7101, 0.4787)  1 Sb 2.46
S (0.7101, 0.6980, 0.9787)  1 Sb 2.46
S (0.7960, 0.8729, 0.1911)  2 Sb 2.48-2.51
S (0.8729, 0.7960, 0.6911)  2 Sb 2.48-2.51
S (0.9544, 0.4384, 0.6728)  2 Sb 2.47-2.69
O (0.1227, 0.7989, 0.3383)  2 Sb 2.01-2.06
O (0.1253, 0.7030, 0.6250)  2 Sb 1.99-2.12
O (0.1345, 0.8079, 0.5125)  2 Sb 2.02-2.08
O (0.1921, 0.8655, 0.9875)  2 Sb 2.02-2.08
O (0.2011, 0.8773, 0.1617)  2 Sb 2.01-2.06
O (0.2473, 0.6294, 0.1758)  2 Sb 1.99-2.06
O (0.2970, 0.8747, 0.8750)  2 Sb 1.99-2.12
O (0.3294, 0.6188, 0.8250)  2 Sb 2.06-2.10
O (0.3706, 0.7527, 0.3242)  2 Sb 1.99-2.06
O (0.3812, 0.6706, 0.6750)  2 Sb 2.06-2.10
O (0.6188, 0.3294, 0.3250)  2 Sb 2.06-2.10
O (0.6294, 0.2473, 0.6758)  2 Sb 1.99-2.06
O (0.6706, 0.3812, 0.1750)  2 Sb 2.06-2.10
O (0.7030, 0.1253, 0.1250)  2 Sb 1.99-2.12
O (0.7527, 0.3706, 0.8242)  2 Sb 1.99-2.06
O (0.7989, 0.1227, 0.8383)  2 Sb 2.01-2.06
O (0.8079, 0.1345, 0.0125)  2 Sb 2.02-2.08
O (0.8655, 0.1921, 0.4875)  2 Sb 2.02-2.08
O (0.8747, 0.2970, 0.3750)  2 Sb 1.99-2.12
O (0.8773, 0.2011, 0.6617)  2 Sb 2.01-2.06

What did the third record say?
VASP calculation (GGA-PBE) on crystalline Pr3Ho7Tm at its relaxed geometry.

Properties
- formation energy (eV per atom) = 0.172
- magnetic moment (μB per cell) = 0.0
- energy above the most stable polymorph in this dataset (meV per atom) = 47
- ρ (kg/m3) = 7728

a = 7.0613 Å, b = 7.0613 Å, c = 8.6886 Å
α = 90.00°, β = 90.00°, γ = 120.00°
With the nearest neighbours (Å) after each atom.
Atoms (fractional coordinates):
Pr (0.0001, 0.5001, 0.0000)  4 Pr 3.53, 5 Ho 3.58-3.59, 1 Tm 3.59
Pr (0.4999, 0.9999, 0.0000)  4 Pr 3.53, 5 Ho 3.58-3.59, 1 Tm 3.59
Pr (0.4999, 0.5001, 0.0000)  4 Pr 3.53, 5 Ho 3.58-3.59, 1 Tm 3.59
Ho (0.1674, 0.3349, 0.6606)  1 Tm 3.45, 8 Ho 3.47-3.55, 2 Pr 3.58
Ho (0.1674, 0.8326, 0.6606)  1 Tm 3.45, 8 Ho 3.47-3.55, 2 Pr 3.58
Ho (0.3348, 0.1674, 0.3385)  7 Ho 3.45-3.55, 2 Tm 3.53, 2 Pr 3.58
Ho (0.6651, 0.8326, 0.6606)  1 Tm 3.45, 8 Ho 3.47-3.55, 2 Pr 3.58
Ho (0.6667, 0.3333, 0.6596)  9 Ho 3.45-3.53, 3 Pr 3.59
Ho (0.8326, 0.1674, 0.3385)  7 Ho 3.45-3.55, 2 Tm 3.53, 2 Pr 3.58
Ho (0.8326, 0.6652, 0.3385)  7 Ho 3.45-3.55, 2 Tm 3.53, 2 Pr 3.58
Tm (0.3333, 0.6667, 0.3401)  9 Ho 3.45-3.53, 3 Pr 3.59

Q: Among the records above, which one has the highest ρ?
A: CoCuRe2

Q: Number 2 is which compound?
A: CoCuRe2

Q: Which value of magnetic moment does entry 9 give?
A: 0.0 μB per cell